# 1
This record from Alexandria via LeMat-Bulk describes crystalline AcNd5Sm2Tm at its relaxed geometry. The functional is GGA-PBE.

a = 10.139 Å, b = 10.139 Å, c = 10.139 Å
α = 126.79°, β = 126.79°, γ = 78.60°
Atoms (fractional coordinates):
Ac (0.250, 0.250, 0.000)
Ac (0.750, 0.750, 0.000)
Nd (0.000, 0.000, 0.000)
Nd (0.071, 0.571, 0.908)
Nd (0.164, 0.071, 0.500)
Nd (0.336, 0.836, 0.908)
Nd (0.429, 0.336, 0.500)
Nd (0.500, 0.500, 0.000)
Nd (0.571, 0.664, 0.500)
Nd (0.664, 0.164, 0.092)
Nd (0.836, 0.929, 0.500)
Nd (0.929, 0.429, 0.092)
Sm (0.115, 0.385, 0.500)
Sm (0.385, 0.885, 0.270)
Sm (0.615, 0.115, 0.730)
Sm (0.885, 0.615, 0.500)
Tm (0.250, 0.750, 0.500)
Tm (0.750, 0.250, 0.500)

The value obtained for the electronic total energy is -4.383 eV per atom. As for the symmetry: I4/mcm. The density of states at the Fermi level is 12.73 states/eV/f.u. For the energy of formation, the calculation gives 268 meV per atom.


# 2
This record from Alexandria via LeMat-Bulk describes crystalline AcNd2Sm4Tm at its relaxed geometry. The functional is GGA-PBE.

a = 6.066 Å, b = 6.066 Å, c = 7.584 Å
α = 90.00°, β = 90.00°, γ = 90.00°
Atoms (fractional coordinates):
Ac (0.000, 0.000, 0.000)
Nd (0.000, 0.000, 0.500)
Nd (0.500, 0.500, 0.000)
Sm (0.000, 0.500, 0.265)
Sm (0.000, 0.500, 0.735)
Sm (0.500, 0.000, 0.265)
Sm (0.500, 0.000, 0.735)
Tm (0.500, 0.500, 0.500)

The value obtained for the electronic total energy is -4.498 eV per atom. As for the symmetry: P4/mmm. The density of states at the Fermi level is 17.50 states/eV/f.u. For the energy of formation, the calculation gives 126 meV per atom.


# 3
This record from Alexandria via LeMat-Bulk describes crystalline AcNd4SmTm2 at its relaxed geometry. The functional is GGA-PBE.

a = 6.344 Å, b = 6.344 Å, c = 10.410 Å
α = 114.29°, β = 114.29°, γ = 48.24°
Atoms (fractional coordinates):
Ac (0.000, 0.000, 0.000)
Nd (0.247, 0.247, 0.870)
Nd (0.251, 0.251, 0.378)
Nd (0.749, 0.749, 0.622)
Nd (0.753, 0.753, 0.130)
Sm (0.000, 0.000, 0.500)
Tm (0.499, 0.499, 0.256)
Tm (0.501, 0.501, 0.744)

The value obtained for the electronic total energy is -4.570 eV per atom. As for the symmetry: C2/m. The density of states at the Fermi level is 12.49 states/eV/f.u. For the energy of formation, the calculation gives 35 meV per atom.


# 4
This record from Alexandria via LeMat-Bulk describes crystalline Ac2NdSm5Tm at its relaxed geometry. The functional is GGA-PBE.

a = 10.647 Å, b = 10.647 Å, c = 10.934 Å
α = 90.00°, β = 90.00°, γ = 148.22°
Atoms (fractional coordinates):
Ac (0.114, 0.886, 0.500)
Ac (0.116, 0.884, 0.086)
Ac (0.884, 0.116, 0.586)
Ac (0.886, 0.114, 0.000)
Nd (0.411, 0.589, 0.233)
Nd (0.589, 0.411, 0.733)
Sm (0.019, 0.981, 0.790)
Sm (0.282, 0.718, 0.081)
Sm (0.296, 0.704, 0.474)
Sm (0.385, 0.615, 0.788)
Sm (0.483, 0.517, 0.510)
Sm (0.517, 0.483, 0.010)
Sm (0.615, 0.385, 0.288)
Sm (0.704, 0.296, 0.974)
Sm (0.718, 0.282, 0.581)
Sm (0.981, 0.019, 0.290)
Tm (0.205, 0.795, 0.779)
Tm (0.795, 0.205, 0.279)

The value obtained for the electronic total energy is -4.417 eV per atom. As for the symmetry: Cmc2_1. The density of states at the Fermi level is 12.25 states/eV/f.u. For the energy of formation, the calculation gives 144 meV per atom.